First-principles (PBE) data for a relaxed Sm6AsIr2Se3 crystal, as listed in the Alexandria database.

abc: 9.472 9.472 8.551
angles: 105.37 105.37 25.19
Fractional coordinates of all 12 atoms:
Sm 0.010 0.010 0.249
Sm 0.328 0.328 0.426
Sm 0.333 0.333 0.892
Sm 0.667 0.667 0.108
Sm 0.672 0.672 0.574
Sm 0.990 0.990 0.751
As 0.500 0.500 0.000
Ir 0.169 0.169 0.339
Ir 0.831 0.831 0.661
Se 0.162 0.162 0.840
Se 0.500 0.500 0.500
Se 0.838 0.838 0.160

Calculated values
DOS at the Fermi energy = 5.17 states/eV/cell
total DFT energy (no corrections) = -77.76 eV per cell
formation energy without anion corrections = -1384.6 meV/atom